[1]
The following is a DFT calculation (PBE with a Hubbard U) of a relaxed Rb2UV3O12 crystal.

Results
Space-group type = R-3m, No. 166
E = -7.323 eV/atom
Volume = 273.1 Å³/f.u.

Cell lengths 7.471, 7.471, 7.471 Å; angles 56.81, 56.81, 56.81 degrees
Sites, in units of the cell vectors:
Rb  0.110  0.110  0.110
Rb  0.890  0.890  0.890
U  0.500  0.500  0.500
V  0.000  0.500  0.500
V  0.500  0.000  0.500
V  0.500  0.500  0.000
O  0.166  0.569  0.569
O  0.196  0.196  0.567
O  0.196  0.567  0.196
O  0.431  0.431  0.834
O  0.431  0.834  0.431
O  0.433  0.804  0.804
O  0.567  0.196  0.196
O  0.569  0.166  0.569
O  0.569  0.569  0.166
O  0.804  0.433  0.804
O  0.804  0.804  0.433
O  0.834  0.431  0.431

[2]
The following is a DFT calculation (PBE with a Hubbard U) of a relaxed Rb2UWO6 crystal.

Results
Space-group type = I4/mmm, No. 139
E = -7.369 eV/atom
Volume = 192.8 Å³/f.u.

Cell lengths 6.979, 6.979, 6.979 Å; angles 130.38, 130.38, 72.81 degrees
Sites, in units of the cell vectors:
Rb  0.250  0.750  0.500
Rb  0.750  0.250  0.500
U  0.000  0.000  0.000
W  0.500  0.500  0.000
O  0.168  0.168  0.000
O  0.268  0.268  0.537
O  0.268  0.732  0.000
O  0.732  0.268  0.000
O  0.732  0.732  0.463
O  0.832  0.832  0.000